## KZrHg3Te4 (GGA-PBE)

Data for a geometry-optimized KZrHg3Te4 structure.

Summary:
**Energy relative to the lowest polymorph listed for this composition**: 0.0 meV/atom
**Space-group type**: P2_1/m (11)

Structure (extended XYZ):
```
18
Lattice="6.726 0.000 0.000 0.000 8.439 0.000 -0.134 0.000 12.655" Properties=species:S:1:pos:R:3 pbc="T T T"
K 2.167 2.110 5.487
K 4.426 6.329 7.168
Hg 1.934 3.553 12.633
Hg 4.658 7.772 0.022
Hg 3.779 2.110 9.380
Hg 2.813 6.329 3.274
Hg 4.658 4.886 0.022
Hg 1.934 0.667 12.633
Te 1.994 8.282 9.284
Te 5.585 2.110 11.646
Te 4.598 4.062 3.371
Te 4.598 0.157 3.371
Te 1.007 6.329 1.008
Te 5.531 2.110 7.058
Te 1.061 6.329 5.596
Te 1.994 4.377 9.284
Zr 0.414 2.110 9.299
Zr 6.179 6.329 3.356
```

***

## FeBWAu (GGA-PBE)

Data for a geometry-optimized FeBWAu structure.

Summary:
**Energy relative to the lowest polymorph listed for this composition**: 388.6 meV/atom
**Space-group type**: F-43m (216)

Structure (extended XYZ):
```
4
Lattice="0.000 2.987 2.987 2.987 0.000 2.987 2.987 2.987 0.000" Properties=species:S:1:pos:R:3 pbc="T T T"
W 2.987 2.987 2.987
B 0.000 0.000 0.000
Fe 4.480 4.480 4.480
Au 1.493 1.493 1.493
```

***

## Pt3N2 (GGA-PBE)

Data for a geometry-optimized Pt3N2 structure.

Summary:
**Raw total energy**: -29.8 eV per formula unit
**Space-group type**: R-3c (167)

Structure (extended XYZ):
```
10
Lattice="-6.652 0.000 0.000 3.326 -5.761 0.000 -3.326 1.920 4.342" Properties=species:S:1:pos:R:3 pbc="T T T"
Pt -3.085 -3.841 1.086
Pt -1.784 -0.751 1.086
Pt -4.869 -3.089 3.257
Pt -3.567 0.000 3.257
Pt -1.543 -2.672 3.257
Pt -5.110 -1.169 1.086
N -6.652 0.000 0.944
N -3.326 -1.920 3.115
N -3.326 -1.920 1.228
N 0.000 -3.841 3.399
```

***

## YAl2Os2 (GGA-PBE)

Data for a geometry-optimized YAl2Os2 structure.

Summary:
**Energy relative to the lowest polymorph listed for this composition**: 0.0 meV/atom
**Space-group type**: I4/mmm (139)

Structure (extended XYZ):
```
5
Lattice="-2.097 2.097 5.267 2.097 -2.097 5.267 2.097 2.097 -5.267" Properties=species:S:1:pos:R:3 pbc="T T T"
Y 0.000 0.000 0.000
Os 0.000 0.000 6.462
Os 0.000 0.000 4.073
Al 0.000 2.097 2.634
Al 2.097 0.000 2.634
```

***

## PmAsN2O (GGA-PBE)

Data for a geometry-optimized PmAsN2O structure.

Summary:
**Raw total energy**: -34.9 eV per formula unit
**Space-group type**: C2/m (12)

Structure (extended XYZ):
```
10
Lattice="3.788 -3.786 0.000 3.788 3.786 0.000 -3.690 0.000 3.988" Properties=species:S:1:pos:R:3 pbc="T T T"
N 3.788 2.262 0.000
N 2.232 0.000 0.252
N 3.788 -2.262 0.000
N 1.654 0.000 3.736
O 1.943 -2.189 1.994
O 1.943 2.189 1.994
Pm 0.028 0.000 1.961
Pm 3.858 0.000 2.027
As 1.894 1.893 0.000
As 1.894 -1.893 0.000
```

***

## CsPrS2 (GGA-PBE)

Data for a geometry-optimized CsPrS2 structure.

Summary:
**Raw total energy**: -21.1 eV per formula unit
**Space-group type**: P6_3/mmc (194)

Structure (extended XYZ):
```
8
Lattice="4.275 0.000 0.000 -2.137 3.702 0.000 0.000 0.000 16.157" Properties=species:S:1:pos:R:3 pbc="T T T"
Pr 0.000 0.000 8.079
Pr 0.000 0.000 0.000
S 0.000 2.468 14.638
S 2.137 1.234 6.559
S 0.000 2.468 9.598
S 2.137 1.234 1.519
Cs 0.000 2.468 4.039
Cs 2.137 1.234 12.118
```

***

## BaSnBiIr2 (GGA-PBE)

Data for a geometry-optimized BaSnBiIr2 structure.

Summary:
**Raw total energy**: -29.2 eV per formula unit
**Space-group type**: P2_1/m (11)

Structure (extended XYZ):
```
10
Lattice="-1.221 -3.693 -2.977 4.209 0.335 -2.141 4.241 -6.644 7.300" Properties=species:S:1:pos:R:3 pbc="T T T"
Ir 6.543 -6.369 4.018
Ir 2.787 -4.416 2.173
Ir 0.686 -3.635 -1.836
Ir 4.442 -5.587 0.008
Sn 5.521 -4.568 2.290
Sn 1.708 -5.435 -0.108
Ba 3.295 -7.556 2.681
Ba 3.934 -2.448 -0.499
Bi 6.474 -9.139 3.450
Bi 0.754 -0.864 -1.269
```

***

## SnPdPt (GGA-PBE)

Data for a geometry-optimized SnPdPt structure.

Summary:
**Energy relative to the lowest polymorph listed for this composition**: 28.7 meV/atom
**Space-group type**: P-62m (189)

Structure (extended XYZ):
```
9
Lattice="-3.247 4.072 4.759 2.675 -6.236 1.931 3.268 1.654 0.815" Properties=species:S:1:pos:R:3 pbc="T T T"
Pt 2.350 -0.843 0.924
Pt 0.765 1.917 1.681
Pt 1.215 -0.758 5.307
Sn 2.335 -1.973 3.281
Sn 0.000 0.000 0.000
Sn 0.361 1.463 4.224
Pd -0.227 -0.857 2.650
Pd -1.961 2.459 2.874
Pd 1.616 -3.766 1.166
```